[1]
VASP calculation (GGA-PBE) on a relaxed structure of Pm2SmY2Sc.

The space group is Pmma (No. 51) and the conventional cell measures 7.024, 5.615 and 9.692 Å, with angles of 90.00, 90.00 and 90.00 degrees. The inequivalent atoms are Pm at (0.250, 0.000, 0.160), Pm at (0.250, 0.500, 0.674), Sm at (0.000, 0.500, 0.000), Y at (0.000, 0.000, 0.500), Y at (0.250, 0.500, 0.338) and Sc at (0.250, 0.000, 0.827).

As for the crystal system: orthorhombic. The calculation puts the uncorrected energy at -66.1 eV/cell. The calculation puts the calculated density at 5761 kg/m³.

[2]
VASP calculation (GGA-PBE) on a relaxed structure of Pm2SmY4Sc2.

The space group is C2/m (No. 12) and the conventional cell measures 18.432, 3.573 and 9.445 Å, with angles of 90.00, 115.58 and 90.00 degrees. The inequivalent atoms are Pm at (0.150, 0.000, 0.175), Sm at (0.000, 0.000, 0.500), Y at (0.018, 0.500, 0.832), Y at (0.185, 0.000, 0.827) and Sc at (0.170, 0.500, 0.501).

As for the crystal system: monoclinic. The calculation puts the uncorrected energy at -104.7 eV/cell. The calculation puts the calculated density at 5244 kg/m³.

[3]
VASP calculation (GGA-PBE) on a relaxed structure of Pm6SmYSc2.

The space group is C2/c (No. 15) and the conventional cell measures 9.076, 15.058 and 9.572 Å, with angles of 90.00, 98.12 and 90.00 degrees. The inequivalent atoms are Pm at (0.064, 0.175, 0.448), Pm at (0.099, 0.398, 0.619), Pm at (0.211, 0.228, 0.818), Sm at (0.000, 0.406, 0.250), Y at (0.000, 0.029, 0.750) and Sc at (0.246, 0.051, 0.047).

As for the crystal system: monoclinic. The calculation puts the uncorrected energy at -204.5 eV/cell. The calculation puts the calculated density at 6150 kg/m³.

[4]
VASP calculation (GGA-PBE) on a relaxed structure of Pm2Sm4YSc.

The space group is P2/m (No. 10) and the conventional cell measures 5.071, 5.083 and 10.072 Å, with angles of 90.00, 90.05 and 90.00 degrees. The inequivalent atoms are Pm at (0.000, 0.000, 0.000), Pm at (0.500, 0.500, 0.500), Sm at (0.000, 0.500, 0.244), Sm at (0.500, 0.000, 0.245), Y at (0.000, 0.000, 0.500) and Sc at (0.500, 0.500, 0.000).

As for the crystal system: monoclinic. The calculation puts the uncorrected energy at -40.9 eV/cell. The calculation puts the calculated density at 6558 kg/m³.

no.,total magnetic moment (μB per formula unit),DOS(E_F) (states/eV per cell),ΔE_f (eV/atom)
1,0.0,22.07,0.073
2,0.0,27.33,0.041
3,0.0,63.44,0.121
4,0.0,11.69,0.030